Entry 1:
Below is a geometry-optimized TlCr3S structure, with properties calculated at the PBE-GGA level.

Structure (POSCAR):
```
TlCr3S
1.0
5.1214 0.0000 0.0000
0.0000 5.1214 0.0000
0.0000 0.0000 5.1214
Tl Cr S
1 3 1
direct
0.0000 0.0000 0.0000
0.0000 0.5000 0.0000
0.0000 0.0000 0.5000
0.5000 0.0000 0.0000
0.5000 0.5000 0.5000
```

- ΔE_f (raw): 1576.9 meV/atom
- Symmetry: Pm-3m, No. 221
- ΔE to the lowest computed polymorph: 1134 meV/atom



Entry 2:
Below is a geometry-optimized Zr2Ta2Mo structure, with properties calculated at the PBE-GGA level.

Structure (POSCAR):
```
Zr2Ta2Mo
1.0
-1.1368 -3.8848 -5.2471
5.4758 2.3330 -2.9136
2.5708 -3.4966 2.0318
Ta Zr Mo
4 4 2
direct
0.8509 0.6491 0.0000
0.6491 0.1491 0.0000
0.3509 0.8509 0.0000
0.1491 0.3509 0.0000
0.8359 0.3359 0.5000
0.6641 0.8359 0.5000
0.1641 0.6641 0.5000
0.3359 0.1641 0.5000
0.5000 0.5000 0.0000
0.0000 0.0000 0.0000
```

- Symmetry: P4/mbm, No. 127
- Energy relative to the elements: 0.2911 eV per atom



Entry 3:
Below is a geometry-optimized MgCr2Ag structure, with properties calculated at the PBE-GGA level.

Structure (POSCAR):
```
MgCr2Ag
1.0
3.8243 0.0000 0.0000
0.0000 3.8116 0.0000
0.0000 0.0000 4.4835
Mg Cr Ag
1 2 1
direct
0.5000 0.0000 0.5000
0.5000 0.5000 0.0000
0.0000 0.0000 0.0000
0.0000 0.5000 0.5000
```

- Symmetry: Pmmm, No. 47
- Energy relative to the elements: 0.3170 eV per atom



Entry 4:
Below is a geometry-optimized TeOs2W structure, with properties calculated at the PBE-GGA level.

Structure (POSCAR):
```
TeOs2W
1.0
-3.4350 -0.9349 -3.2908
-3.9371 -1.3741 2.4727
2.8064 3.9157 0.5428
Os Te W
2 1 1
direct
0.5000 0.5000 0.0000
0.0000 0.0000 0.0000
0.2500 0.7500 0.5000
0.7500 0.2500 0.5000
```

- ΔE_f (raw): 780.3 meV/atom
- Symmetry: I4/mmm, No. 139



Entry 5:
Below is a geometry-optimized Pm8Er2Th3 structure, with properties calculated at the PBE-GGA level.

Structure (POSCAR):
```
Pm8Er2Th3
1.0
8.9966 -1.1329 -5.1077
-1.9215 9.3819 -5.4654
-3.4806 -1.9181 9.0541
Pm Th Er
8 3 2
direct
0.3564 0.7607 0.0362
0.3564 0.2755 0.0362
0.8371 0.7472 0.4943
0.6436 0.2393 0.9638
0.0117 0.6141 0.2283
0.9883 0.3859 0.7717
0.6436 0.7245 0.9638
0.1629 0.2528 0.5057
0.0000 0.7636 0.0000
0.5000 0.0000 0.0000
0.0000 0.2364 0.0000
0.4262 0.1910 0.3820
0.5738 0.8090 0.6180
```

- Symmetry: C2/m, No. 12
- Energy relative to the elements: 0.2368 eV per atom



Entry 6:
Below is a geometry-optimized GeTe2IN structure, with properties calculated at the PBE-GGA level.

Structure (POSCAR):
```
GeTe2IN
1.0
5.9710 0.0000 0.0000
0.0000 5.9710 0.0000
0.0000 0.0000 3.5376
N Te Ge I
1 2 1 1
direct
0.0000 0.0000 0.5000
0.5000 0.0000 0.0000
0.0000 0.5000 0.0000
0.0000 0.0000 0.0000
0.5000 0.5000 0.5000
```

- ΔE_f (raw): 725.4 meV/atom
- Symmetry: P4/mmm, No. 123
- ΔE to the lowest computed polymorph: 0 meV/atom



Entry 7:
Below is a geometry-optimized Ti2PPtC structure, with properties calculated at the PBE-GGA level.

Structure (POSCAR):
```
Ti2PPtC
1.0
4.9187 0.0000 0.0000
0.0000 4.2516 0.0000
0.0000 0.0000 4.9187
P Pt Ti C
1 1 2 1
direct
0.0000 0.5000 0.0000
0.0000 0.0000 0.0000
0.0000 0.0000 0.5000
0.5000 0.0000 0.0000
0.5000 0.5000 0.5000
```

- Symmetry: P4/mmm, No. 123
- Energy relative to the elements: 1.4980 eV per atom



Entry 8:
Below is a geometry-optimized CsAlI structure, with properties calculated at the PBE-GGA level.

Structure (POSCAR):
```
CsAlI
1.0
4.8529 0.0007 -0.0002
2.3354 5.8278 -0.0014
0.0347 2.6145 10.9426
Cs Al I
2 2 2
direct
0.4430 0.3054 0.0187
0.5780 0.0331 0.5836
0.0550 0.7383 0.2414
0.5965 0.6497 0.3232
0.0081 0.1857 0.3005
0.9198 0.3574 0.7554
```

- ΔE_f (raw): -530.0 meV/atom
- Symmetry: P1, No. 1
- ΔE to the lowest computed polymorph: 72 meV/atom



Entry 9:
Below is a geometry-optimized ScHgIr2 structure, with properties calculated at the PBE-GGA level.

Structure (POSCAR):
```
ScHgIr2
1.0
-0.2679 -2.0536 -3.5361
2.5533 -2.8520 1.4629
-6.0161 -7.1766 2.2491
Ir Sc Hg
4 2 2
direct
0.8750 0.8203 0.7500
0.3750 0.4297 0.7500
0.5703 0.1250 0.2500
0.1797 0.6250 0.2500
0.2500 0.7500 0.5000
0.5000 0.5000 0.0000
0.7500 0.2500 0.5000
0.0000 0.0000 0.0000
```

- Symmetry: I-42d, No. 122
- Energy relative to the elements: 0.1622 eV per atom



Entry 10:
Below is a geometry-optimized Ca2ScTl structure, with properties calculated at the PBE-GGA level.

Structure (POSCAR):
```
Ca2ScTl
1.0
-5.0632 -1.4778 1.6751
-4.3479 3.2218 -1.1581
-3.7649 -1.6585 -3.7015
Ca Sc Tl
2 1 1
direct
0.7500 0.7500 0.7500
0.2500 0.2500 0.2500
0.0000 0.0000 0.0000
0.5000 0.5000 0.5000
```

- Symmetry: Fm-3m, No. 225
- ΔE to the lowest computed polymorph: 118 meV/atom
- Energy relative to the elements: 0.0017 eV per atom



Entry 11:
Below is a geometry-optimized Ac2AuO2 structure, with properties calculated at the PBE-GGA level.

Structure (POSCAR):
```
Ac2AuO2
1.0
0.0579 1.2391 -4.0335
-1.5788 -3.7345 -1.1699
-5.4545 3.6700 3.2566
O Au Ac
2 1 2
direct
0.2500 0.7500 0.5000
0.7500 0.2500 0.5000
0.0000 0.0000 0.0000
0.6538 0.6538 0.3076
0.3462 0.3462 0.6924
```

- ΔE_f (raw): -2509.1 meV/atom
- Symmetry: I4/mmm, No. 139



Entry 12:
Below is a geometry-optimized LaNdAl6 structure, with properties calculated at the PBE-GGA level.

Structure (POSCAR):
```
LaNdAl6
1.0
6.5695 0.0000 0.0000
-3.2847 5.6893 0.0000
0.0000 0.0000 4.6541
Nd La Al
1 1 6
direct
0.6667 0.3333 0.5000
0.3333 0.6667 0.0000
0.7218 0.8609 0.5000
0.8597 0.1403 0.0000
0.1391 0.8609 0.5000
0.2805 0.1403 0.0000
0.1391 0.2782 0.5000
0.8597 0.7195 0.0000
```

- Symmetry: P-6m2, No. 187
- Energy relative to the elements: -0.4461 eV per atom



Entry 13:
Below is a geometry-optimized ScGaPt2 structure, with properties calculated at the PBE-GGA level.

Structure (POSCAR):
```
ScGaPt2
1.0
-0.6150 -2.2294 2.4922
1.1892 -2.5142 -1.9556
5.2855 0.8759 2.0879
Sc Pt Ga
1 2 1
direct
0.5000 0.5000 0.5000
0.0000 0.0000 0.2407
0.0000 0.0000 0.7593
0.5000 0.5000 0.0000
```

- Symmetry: P4/mmm, No. 123
- Energy relative to the elements: -0.9547 eV per atom



Entry 14:
Below is a geometry-optimized NbReS2 structure, with properties calculated at the PBE-GGA level.

Structure (POSCAR):
```
NbReS2
1.0
-4.3959 7.0361 0.1227
-4.9766 5.9627 2.9200
-2.4307 7.5624 2.3975
Nb S Re
1 2 1
direct
0.5000 0.5000 0.5000
0.9056 0.9056 0.9056
0.0944 0.0944 0.0944
0.0000 0.0000 0.0000
```

- ΔE_f (raw): -251.9 meV/atom
- Symmetry: R-3m, No. 166
- ΔE to the lowest computed polymorph: 0 meV/atom



Entry 15:
Below is a geometry-optimized Ir5Ru3 structure, with properties calculated at the PBE-GGA level.

Structure (POSCAR):
```
Ir5Ru3
1.0
-2.9801 -3.7045 2.6542
3.7303 -3.7992 -1.1404
1.8592 0.8449 3.2667
Ru Ir
3 5
direct
0.7485 0.7485 0.5000
0.5000 0.5000 0.0000
0.2515 0.2515 0.5000
0.7486 0.2514 0.5000
0.5000 0.0000 0.0000
0.0000 0.5000 0.0000
0.0000 0.0000 0.0000
0.2514 0.7486 0.5000
```

- Symmetry: Cmmm, No. 65
- ΔE to the lowest computed polymorph: 2 meV/atom
- Energy relative to the elements: -0.0243 eV per atom



Entry 16:
Below is a geometry-optimized Tb2Sm5Y structure, with properties calculated at the PBE-GGA level.

Structure (POSCAR):
```
Tb2Sm5Y
1.0
6.4692 -0.0007 -1.6664
-3.2478 8.3854 0.8306
-3.3239 -0.0102 10.7055
Y Sm Tb
2 10 4
direct
0.1850 0.3719 0.2499
0.8150 0.6281 0.7501
0.3544 0.7438 0.3917
0.8843 0.9936 0.0896
0.4075 0.8127 0.7499
0.1064 0.9920 0.4095
0.8936 0.0080 0.5905
0.3915 0.7436 0.1096
0.6085 0.2564 0.8904
0.6456 0.2562 0.6083
0.1157 0.0064 0.9104
0.5925 0.1873 0.2501
0.2004 0.3989 0.9192
0.1986 0.4002 0.5808
0.7996 0.6011 0.0808
0.8014 0.5998 0.4192
```

- Symmetry: P-1, No. 2
- ΔE to the lowest computed polymorph: 6 meV/atom
- Energy relative to the elements: 0.1405 eV per atom



Entry 17:
Below is a geometry-optimized PrDy2HoP4 structure, with properties calculated at the PBE-GGA level.

Structure (POSCAR):
```
PrDy2HoP4
1.0
-4.2635 0.9744 -3.7085
1.3467 -4.8121 -2.8124
-2.1299 -1.0417 6.6079
P Dy Ho Pr
4 2 1 1
direct
0.9372 0.4372 0.0000
0.1922 0.1922 0.5102
0.6820 0.6820 0.4898
0.4372 0.9372 0.0000
0.6871 0.1871 0.5000
0.1871 0.6871 0.5000
0.4372 0.4372 0.0000
0.9372 0.9372 0.0000
```

- Symmetry: I4/mmm, No. 139
- Energy relative to the elements: -1.5717 eV per atom



Entry 18:
Below is a geometry-optimized NaC structure, with properties calculated at the PBE-GGA level.

Structure (POSCAR):
```
NaC
1.0
9.8712 0.0000 0.0000
-4.9356 8.5487 0.0000
0.0000 0.0000 2.6115
C Na
6 6
direct
0.0327 0.5163 0.2500
0.5163 0.4837 0.7500
0.4837 0.5163 0.2500
0.5163 0.0327 0.7500
0.9673 0.4837 0.7500
0.4837 0.9673 0.2500
0.2232 0.4464 0.7500
0.7768 0.5536 0.2500
0.5536 0.7768 0.7500
0.4464 0.2232 0.2500
0.2232 0.7768 0.7500
0.7768 0.2232 0.2500
```

- Symmetry: P6_3/mmc, No. 194
- ΔE to the lowest computed polymorph: 281 meV/atom
- Energy relative to the elements: 0.5124 eV per atom



Entry 19:
Below is a geometry-optimized PmNpOs structure, with properties calculated at the PBE-GGA level.

Structure (POSCAR):
```
PmNpOs
1.0
-0.7868 -3.7477 -0.0792
0.9187 1.6882 3.6064
-11.1820 2.3646 -0.8050
Np Pm Os
2 2 2
direct
0.6428 0.2857 0.5762
0.3572 0.7143 0.4238
0.9081 0.8162 0.1476
0.0919 0.1838 0.8524
0.6416 0.2832 0.3025
0.3584 0.7168 0.6975
```

- Symmetry: C2/m, No. 12
- ΔE to the lowest computed polymorph: 22 meV/atom
- Energy relative to the elements: 0.2169 eV per atom



Entry 20:
Below is a geometry-optimized CePaRh structure, with properties calculated at the PBE-GGA level.

Structure (POSCAR):
```
CePaRh
1.0
3.7718 0.0000 0.0000
0.0000 4.5224 0.0000
0.0000 -2.2612 3.9165
Rh Pa Ce
1 1 1
direct
0.3115 0.3333 0.6667
0.0139 0.0000 0.0000
0.6746 0.6667 0.3333
```

- Symmetry: P3m1, No. 156
- ΔE to the lowest computed polymorph: 88 meV/atom
- Energy relative to the elements: -0.3482 eV per atom



Entry 21:
Below is a geometry-optimized Ta2CoHI structure, with properties calculated at the PBE-GGA level.

Structure (POSCAR):
```
Ta2CoHI
1.0
-3.4121 0.7566 2.9588
-3.4754 -0.6433 -3.8434
-0.1924 -4.4809 0.9240
Co H Ta I
1 1 2 1
direct
0.0000 0.0000 0.0000
0.5000 0.5000 0.5000
0.0000 0.0000 0.5000
0.5000 0.0000 0.0000
0.0000 0.5000 0.0000
```

- Symmetry: P4/mmm, No. 123
- DFT total energy: -5.5458 eV per atom



Entry 22:
Below is a geometry-optimized KSb2Br structure, with properties calculated at the PBE-GGA level.

Structure (POSCAR):
```
KSb2Br
1.0
-1.4869 -5.1167 1.7817
1.6764 -1.8147 5.0461
-3.7270 -0.5502 4.1681
Sb Br K
2 1 1
direct
0.2500 0.2500 0.2500
0.7500 0.7500 0.7500
0.5000 0.5000 0.5000
0.0000 0.0000 0.0000
```

- ΔE_f (raw): 266.4 meV/atom
- Symmetry: Fm-3m, No. 225
- ΔE to the lowest computed polymorph: 936 meV/atom



Entry 23:
Below is a geometry-optimized PrSmErSc structure, with properties calculated at the PBE-GGA level.

Structure (POSCAR):
```
PrSmErSc
1.0
5.6114 0.0000 0.0000
2.8057 4.8596 0.0000
2.8057 1.6199 4.5817
Sm Sc Pr Er
1 1 1 1
direct
0.7500 0.7500 0.7500
0.0000 0.0000 0.0000
0.2500 0.2500 0.2500
0.5000 0.5000 0.5000
```

- Symmetry: F-43m, No. 216
- ΔE to the lowest computed polymorph: 0 meV/atom
- Energy relative to the elements: 0.0969 eV per atom



Entry 24:
Below is a geometry-optimized Te3AsPt structure, with properties calculated at the PBE-GGA level.

Structure (POSCAR):
```
Te3AsPt
1.0
5.2999 0.0000 0.0000
0.0000 5.2999 0.0000
0.0000 0.0000 5.2999
As Te Pt
1 3 1
direct
0.0000 0.0000 0.0000
0.5000 0.0000 0.0000
0.0000 0.0000 0.5000
0.0000 0.5000 0.0000
0.5000 0.5000 0.5000
```

- ΔE_f (raw): 1018.3 meV/atom
- Symmetry: Pm-3m, No. 221
- ΔE to the lowest computed polymorph: 462 meV/atom



Entry 25:
Below is a geometry-optimized CuAuCl2 structure, with properties calculated at the PBE-GGA level.

Structure (POSCAR):
```
CuAuCl2
1.0
-2.0346 -1.4377 2.6858
1.4083 -2.6036 2.1584
2.3965 4.4048 5.9060
Cl Cu Au
2 1 1
direct
0.9646 0.9646 0.1112
0.7706 0.7706 0.6677
0.5793 0.5793 0.2547
0.1855 0.1855 0.4664
```

- ΔE_f (raw): -192.2 meV/atom
- Symmetry: Cm, No. 8
- ΔE to the lowest computed polymorph: 37 meV/atom



Entry 26:
Below is a geometry-optimized Dy4IrRh3 structure, with properties calculated at the PBE-GGA level.

Structure (POSCAR):
```
Dy4IrRh3
1.0
4.7823 0.0000 0.0000
0.0000 7.0301 0.0000
0.0000 0.0000 9.5627
Ir Dy Rh
2 8 6
direct
0.0000 0.5000 0.5000
0.0000 0.5000 0.0000
0.5000 0.2512 0.5000
0.5000 0.7488 0.5000
0.5000 0.7488 0.0000
0.0002 0.7488 0.2500
0.9998 0.7488 0.7500
0.0002 0.2512 0.2500
0.9998 0.2512 0.7500
0.5000 0.2512 0.0000
0.0000 0.0000 0.5000
0.0000 0.0000 0.0000
0.5003 0.0000 0.2500
0.4996 0.5000 0.7500
0.4997 0.0000 0.7500
0.5004 0.5000 0.2500
```

- Symmetry: P4/mmm, No. 123
- Energy relative to the elements: -0.8718 eV per atom